{"formula": "ReSiCl2", "functional": "SCAN", "state": "single point on PBEsol structure", "e_form_raw_ev_per_atom": 0.859, "final_energy_ha_per_atom": -0.8602, "e_above_lowest_polymorph_ev_per_atom": 0.360, "lattice_angstrom": [[2.793, 0.000, 0.000], [0.000, 4.348, 0.000], [0.000, 0.000, 5.103]], "species": ["Re", "Si", "Cl", "Cl"], "frac_coords": [[0.000, 0.000, 0.000], [0.500, 0.000, 0.500], [0.000, 0.500, 0.500], [0.500, 0.500, 0.000]]}